{"formula": "Dy2NiSn", "functional": "GGA-PBE", "state": "optimized geometry", "lattice_angstrom": [[3.776, 0.000, 0.000], [-1.888, 3.270, 0.000], [0.000, 0.000, 28.156]], "species": ["Dy", "Dy", "Dy", "Dy", "Dy", "Dy", "Ni", "Ni", "Ni", "Sn", "Sn", "Sn"], "frac_coords": [[0.000, 0.000, 0.112], [0.000, 0.000, 0.888], [0.333, 0.667, 0.555], [0.333, 0.667, 0.778], [0.667, 0.333, 0.222], [0.667, 0.333, 0.445], [0.000, 0.000, 0.500], [0.333, 0.667, 0.167], [0.667, 0.333, 0.833], [0.000, 0.000, 0.000], [0.333, 0.667, 0.667], [0.667, 0.333, 0.333]], "de_polymorph_kj_per_mol_fu": 163, "formation_energy_ev_per_atom": -0.0924, "density_g_cm3": 7.2}